An optimized crystal structure of MnBI2O. Source: the Alexandria database, functional PBE with a Hubbard U.

Structure (POSCAR):
```
MnBI2O
1.0
6.750 0.000 0.000
0.000 6.750 0.000
0.000 0.000 2.866
I Mn B O
2 1 1 1
Direct
0.000 0.500 0.000
0.500 0.000 0.000
0.500 0.500 0.500
0.000 0.000 0.000
0.000 0.000 0.500
```

Summary:
As for the space group: No. 123. Its density of states at the Fermi level is 2.65 states/eV/f.u. The value obtained for the excess energy over the best structure of this formula in the dataset is 0.0 meV per atom. The calculation puts the total energy at -21.23 eV/cell. The spin magnetization comes out at 5.121 μB/f.u.